MnB2Pt PBE relaxed; total magnetization = 0.000 μB/atom; E above lowest polymorph = 0.00 eV per formula unit; ρ = 12.0 g/cm³; ΔH_f (0 K) = 0.210 eV/atom; DFT total energy = -6.931 eV per atom
1.0
0.000 2.660 2.660
2.660 0.000 2.660
2.660 2.660 0.000
Mn B Pt
1 2 1
Cartesian
0.000 0.000 0.000
1.330 1.330 1.330
3.991 3.991 3.991
2.660 2.660 2.660


KScC PBE relaxed; total magnetization = 0.117 μB/atom; E above lowest polymorph = 1.48 eV per formula unit; ρ = 2.2 g/cm³; ΔH_f (0 K) = 0.455 eV/atom; DFT total energy = -5.096 eV per atom
1.0
3.728 0.000 0.000
-1.864 3.229 0.000
0.000 0.000 12.235
K Sc C
2 2 2
Cartesian
0.000 0.000 0.000
0.000 0.000 6.118
1.864 1.076 2.901
1.864 1.076 9.335
0.000 2.153 2.498
0.000 2.153 9.737


Ca2ZrNbZn PBE relaxed; total magnetization = 0.000 μB/atom; ρ = 3.9 g/cm³; ΔH_f (0 K) = 0.966 eV/atom; DFT total energy = -3.813 eV per atom
1.0
5.178 0.000 0.000
0.000 5.178 0.000
0.000 0.000 5.287
Ca Zr Nb Zn
2 1 1 1
Cartesian
0.000 2.589 0.000
2.589 0.000 0.000
0.000 0.000 2.644
2.589 2.589 2.644
0.000 0.000 0.000


Tb3Al9Cu2 PBE relaxed; total magnetization = 0.000 μB/atom; ρ = 5.4 g/cm³; ΔH_f (0 K) = -0.427 eV/atom; DFT total energy = -4.411 eV per atom
1.0
-2.132 5.021 6.089
2.132 -5.021 6.089
2.132 5.021 -6.089
Tb Al Cu
3 9 2
Cartesian
0.000 0.000 0.000
0.000 0.000 3.814
0.000 0.000 8.363
2.132 -1.313 1.936
2.132 -2.217 4.546
2.132 1.313 1.936
0.000 2.804 1.543
0.000 5.021 0.000
2.132 2.217 4.546
0.000 3.708 4.153
0.000 7.238 1.543
0.000 6.334 4.153
2.132 2.903 0.000
0.000 2.118 6.089


NaCuSO PBE relaxed; total magnetization = 0.000 μB/atom; raw formation energy = -0.25 eV per atom; ρ = 3.7 g/cm³; DFT total energy = -3.873 eV per atom
1.0
3.596 0.000 0.000
0.000 3.596 0.000
0.000 0.000 9.252
Na Cu S O
2 2 2 2
Cartesian
0.899 0.899 1.407
2.697 2.697 7.846
0.899 2.697 4.626
2.697 0.899 4.626
0.899 0.899 6.077
2.697 2.697 3.175
0.899 2.697 0.000
2.697 0.899 0.000


RbNb2Tl PBE relaxed; total magnetization = 0.427 μB/atom; E above lowest polymorph = 0.56 eV per formula unit; ρ = 7.2 g/cm³; ΔH_f (0 K) = 1.630 eV/atom; DFT total energy = -4.239 eV per atom
1.0
-4.320 4.320 2.919
4.320 -4.320 2.919
4.320 4.320 -2.919
Rb Nb Tl
2 4 2
Cartesian
0.000 0.000 0.000
0.000 4.320 1.459
2.160 2.509 -0.730
6.132 2.160 0.730
2.160 1.811 2.189
-1.811 2.160 3.648
4.320 0.000 1.459
0.000 0.000 2.919


BaF PBE relaxed; total magnetization = 0.167 μB/atom; raw formation energy = -2.69 eV per atom; ρ = 4.5 g/cm³; DFT total energy = -4.591 eV per atom
1.0
4.116 0.000 0.000
0.000 6.142 3.450
0.000 -6.142 3.450
Ba F
3 3
Cartesian
0.000 0.000 0.000
2.058 -2.144 3.615
2.058 2.144 3.615
0.000 -3.665 2.153
0.000 3.665 2.153
2.058 0.000 5.171


MgRhBr PBE relaxed; total magnetization = 0.000 μB/atom; raw formation energy = -0.54 eV per atom; E above lowest polymorph = 0.02 eV per formula unit; ρ = 4.6 g/cm³; DFT total energy = -4.081 eV per atom
1.0
3.993 0.000 0.000
1.726 3.609 0.000
0.312 0.242 10.375
Mg Rh Br
2 2 2
Cartesian
0.184 0.151 3.247
5.847 3.699 7.128
1.995 1.276 5.166
4.036 2.574 5.209
2.060 1.313 8.600
3.971 2.538 1.775